1.
# Ca2Cd4Hg5 (PBE, optimized geometry)
data_Ca2Cd4Hg5
_chemical_formula_sum 'Ca4 Cd8 Hg10'
_symmetry_space_group_name_H-M 'I m m m'
_symmetry_Int_Tables_number 71
_symmetry_space_group_name_Hall '-I 2 2'
_cell_length_a 6.052
_cell_length_b 9.698
_cell_length_c 9.725
_cell_angle_alpha 90.00
_cell_angle_beta 90.00
_cell_angle_gamma 90.00
loop_
_atom_site_label
_atom_site_type_symbol
_atom_site_fract_x
_atom_site_fract_y
_atom_site_fract_z
Ca1 Ca 0.000 0.000 0.226
Cd1 Cd 0.000 0.333 0.259
Hg1 Hg 0.000 0.500 0.500
Hg2 Hg 0.245 0.166 0.500
# ΔE_f = -0.1736 eV per atom
# DOS(E_F) = 6.02 states/eV/f.u.

=====

2.
# ZrBe2NiTe (PBE, optimized geometry)
data_ZrBe2NiTe
_chemical_formula_sum 'Zr1 Be2 Ni1 Te1'
_symmetry_space_group_name_H-M 'P 4/m m m'
_symmetry_Int_Tables_number 123
_symmetry_space_group_name_Hall '-P 4 2'
_cell_length_a 4.443
_cell_length_b 4.443
_cell_length_c 5.375
_cell_angle_alpha 90.00
_cell_angle_beta 90.00
_cell_angle_gamma 90.00
loop_
_atom_site_label
_atom_site_type_symbol
_atom_site_fract_x
_atom_site_fract_y
_atom_site_fract_z
Zr1 Zr 0.000 0.000 0.000
Be1 Be 0.000 0.500 0.500
Ni1 Ni 0.500 0.500 0.000
Te1 Te 0.000 0.000 0.500
# formation energy without anion corrections = 1.29 eV/atom
# DOS(E_F) = 5.42 states/eV/f.u.

=====

3.
# K2YMg (PBE, optimized geometry)
data_K2YMg
_chemical_formula_sum 'K2 Y1 Mg1'
_symmetry_space_group_name_H-M 'P 4 m m'
_symmetry_Int_Tables_number 99
_cell_length_a 3.898
_cell_length_b 3.898
_cell_length_c 11.763
_cell_angle_alpha 90.00
_cell_angle_beta 90.00
_cell_angle_gamma 90.00
loop_
_symmetry_equiv_pos_as_xyz
'x,y,z'
'-y,x,z'
'-x,-y,z'
'y,-x,z'
'-x,y,z'
'y,x,z'
'x,-y,z'
'-y,-x,z'
loop_
_atom_site_label
_atom_site_type_symbol
_atom_site_fract_x
_atom_site_fract_y
_atom_site_fract_z
K1 K 0.000 0.000 0.000
K2 K 0.500 0.500 0.349
Y1 Y 0.500 0.500 0.721
Mg1 Mg 0.000 0.000 0.576
# ΔE_f = 0.2155 eV per atom
# DOS(E_F) = 3.38 states/eV/f.u.

=====

4.
# CeErIrO6 (PBE, optimized geometry)
data_CeErIrO6
_chemical_formula_sum 'Ce2 Er2 Ir2 O12'
_symmetry_space_group_name_H-M 'P -3 1 c'
_symmetry_Int_Tables_number 163
_symmetry_space_group_name_Hall '-P 3 2c'
_cell_length_a 5.4437
_cell_length_b 5.4437
_cell_length_c 9.7452
_cell_angle_alpha 90.00
_cell_angle_beta 90.00
_cell_angle_gamma 120.00
loop_
_atom_site_label
_atom_site_type_symbol
_atom_site_fract_x
_atom_site_fract_y
_atom_site_fract_z
Ce1 Ce 0.0000 0.0000 0.0000
Er1 Er 0.3333 0.6667 0.2500
Ir1 Ir 0.3333 0.6667 0.7500
O1 O 0.0361 0.3629 0.6342
# formation energy without anion corrections = -2.32 eV/atom
# DOS(E_F) = 5.30 states/eV/f.u.

=====

5.
# Sr2Ca3SmTe6 (PBE, optimized geometry)
data_Sr2Ca3SmTe6
_chemical_formula_sum 'Sr4 Ca6 Sm2 Te12'
_symmetry_space_group_name_H-M 'C 1 2/m 1'
_symmetry_Int_Tables_number 12
_cell_length_a 19.932
_cell_length_b 4.561
_cell_length_c 9.183
_cell_angle_alpha 90.00
_cell_angle_beta 103.13
_cell_angle_gamma 90.00
loop_
_symmetry_equiv_pos_as_xyz
'x,y,z'
'-x,-y,-z'
'-x,y,-z'
'x,-y,z'
'x+1/2,y+1/2,z'
'-x+1/2,-y+1/2,-z'
'-x+1/2,y+1/2,-z'
'x+1/2,-y+1/2,z'
loop_
_atom_site_label
_atom_site_type_symbol
_atom_site_fract_x
_atom_site_fract_y
_atom_site_fract_z
Sr1 Sr 0.166 0.000 0.333
Ca1 Ca 0.000 0.500 0.500
Ca2 Ca 0.167 0.000 0.834
Sm1 Sm 0.000 0.500 0.000
Te1 Te 0.003 0.000 0.755
Te2 Te 0.163 0.500 0.591
Te3 Te 0.165 0.500 0.073
# formation energy without anion corrections = -1.61 eV/atom
# DOS(E_F) = 2.87 states/eV/f.u.

=====

6.
# BaZrFe (PBE, optimized geometry)
data_BaZrFe
_chemical_formula_sum 'Ba4 Zr4 Fe4'
_symmetry_space_group_name_H-M 'F -4 3 m'
_symmetry_Int_Tables_number 216
_symmetry_space_group_name_Hall 'F -4 2 3'
_cell_length_a 6.836
_cell_length_b 6.836
_cell_length_c 6.836
_cell_angle_alpha 90.00
_cell_angle_beta 90.00
_cell_angle_gamma 90.00
loop_
_atom_site_label
_atom_site_type_symbol
_atom_site_fract_x
_atom_site_fract_y
_atom_site_fract_z
Ba1 Ba 0.000 0.000 0.000
Zr1 Zr 0.250 0.250 0.750
Fe1 Fe 0.250 0.250 0.250
# ΔE_f = 1.7112 eV per atom
# polymorph energy (0 for the lowest one) = 124.02 kJ per mole of atoms
# DOS(E_F) = 6.04 states/eV/f.u.

=====

7.
# PrSiOsN (PBE, optimized geometry)
data_PrSiOsN
_chemical_formula_sum 'Pr2 Si2 Os2 N2'
_symmetry_space_group_name_H-M 'P 4/n m m'
_symmetry_Int_Tables_number 129
_cell_length_a 4.020
_cell_length_b 4.020
_cell_length_c 8.233
_cell_angle_alpha 90.00
_cell_angle_beta 90.00
_cell_angle_gamma 90.00
loop_
_symmetry_equiv_pos_as_xyz
'x,y,z'
'-x,-y,-z'
'-y+1/2,x,z'
'y+1/2,-x,-z'
'-x+1/2,-y+1/2,z'
'x+1/2,y+1/2,-z'
'y,-x+1/2,z'
'-y,x+1/2,-z'
'x+1/2,-y,-z'
'-x+1/2,y,z'
'-y,-x,-z'
'y,x,z'
'-x,y+1/2,-z'
'x,-y+1/2,z'
'y+1/2,x+1/2,-z'
'-y+1/2,-x+1/2,z'
loop_
_atom_site_label
_atom_site_type_symbol
_atom_site_fract_x
_atom_site_fract_y
_atom_site_fract_z
Pr1 Pr 0.250 0.250 0.161
Si1 Si 0.250 0.250 0.656
Os1 Os 0.250 0.750 0.500
N1 N 0.250 0.250 0.869
# formation energy without anion corrections = -0.94 eV/atom
# DOS(E_F) = 1.45 states/eV/f.u.

=====

8.
# YScTlRu (PBE, optimized geometry)
data_YScTlRu
_chemical_formula_sum 'Y1 Sc1 Tl1 Ru1'
_symmetry_space_group_name_H-M 'P 4 m m'
_symmetry_Int_Tables_number 99
_cell_length_a 3.320
_cell_length_b 3.320
_cell_length_c 8.017
_cell_angle_alpha 90.00
_cell_angle_beta 90.00
_cell_angle_gamma 90.00
loop_
_symmetry_equiv_pos_as_xyz
'x,y,z'
'-y,x,z'
'-x,-y,z'
'y,-x,z'
'-x,y,z'
'y,x,z'
'x,-y,z'
'-y,-x,z'
loop_
_atom_site_label
_atom_site_type_symbol
_atom_site_fract_x
_atom_site_fract_y
_atom_site_fract_z
Y1 Y 0.000 0.000 0.000
Sc1 Sc 0.000 0.000 0.596
Tl1 Tl 0.500 0.500 0.316
Ru1 Ru 0.500 0.500 0.775
# ΔE_f = -0.4388 eV per atom
# polymorph energy (0 for the lowest one) = 0.00 kJ per mole of atoms
# DOS(E_F) = 2.10 states/eV/f.u.